! ScAuSe2 | Alexandria | meta-GGA SCAN | single point on PBEsol structure; values from VASP
&SYSTEM
  ibrav = 0, nat = 4, ntyp = 3
/
ATOMIC_SPECIES
Sc 44.96 Sc.upf
Au 196.97 Au.upf
Se 78.96 Se.upf
CELL_PARAMETERS angstrom
3.4449 0.0000 0.0000
0.0000 3.4449 0.0000
0.0000 0.0000 6.3494
ATOMIC_POSITIONS crystal
Sc 0.0000 0.0000 0.0000
Au 0.0000 0.0000 0.5000
Se 0.5000 0.5000 0.2255
Se 0.5000 0.5000 0.7745
! Crystal system ... tetragonal
! Uncorrected energy ... -31.54 eV per atom
! Space group ... P4/mmm (123)
! Formation energy without anion corrections ... -0.650 eV/atom